VASP calculation (GGA-PBE) on a relaxed ZnH2Pd crystal.

The structure in POSCAR format:
```
ZnH2Pd
1.0
3.155 0.000 0.000
1.577 2.732 0.000
1.577 0.911 4.536
H Zn Pd
2 1 1
Direct
0.878 0.878 0.365
0.122 0.122 0.635
0.500 0.500 0.500
0.000 0.000 0.000
```

D(E_F)	0.7	states/eV/f.u.
SG	R-3m (166)
offset from the most stable computed form	66.3	meV/atom


VASP calculation (GGA-PBE) on a relaxed MgTc2NiC crystal.

The structure in POSCAR format:
```
MgTc2NiC
1.0
4.098 0.000 0.000
0.000 4.098 0.000
0.000 0.000 3.849
Tc Mg Ni C
2 1 1 1
Direct
0.000 0.500 0.000
0.500 0.000 0.000
0.500 0.500 0.500
0.000 0.000 0.500
0.000 0.000 0.000
```

D(E_F)	5.7	states/eV/f.u.
DFT total energy	-7.360	eV/atom
SG	P4/mmm (123)


VASP calculation (GGA-PBE) on a relaxed TmScW crystal.

The structure in POSCAR format:
```
TmScW
1.0
4.731 0.000 0.000
0.000 5.145 0.000
0.000 0.000 10.933
W Tm Sc
4 4 4
Direct
0.750 0.038 0.442
0.250 0.538 0.058
0.250 0.962 0.558
0.750 0.462 0.942
0.750 0.467 0.238
0.250 0.533 0.762
0.250 0.967 0.262
0.750 0.033 0.738
0.750 0.563 0.565
0.250 0.063 0.935
0.250 0.437 0.435
0.750 0.937 0.065
```

D(E_F)	3.2	states/eV/f.u.
DFT total energy	-7.675	eV/atom
SG	Pnma (62)